1.
The following is a PBE calculation of a relaxed structure of NbNiH2, from Alexandria.

Computed properties:
* ΔE to the lowest computed polymorph: 0.235 eV/atom
* SG: R-3m, No. 166

abc: 2.855 2.855 5.327
angles: 74.46 74.46 60.00
Element x y z (fractional)
Ni 0.500 0.500 0.500
Nb 0.000 0.000 0.000
H 0.129 0.129 0.614
H 0.871 0.871 0.386


2.
The following is a PBE calculation of a relaxed structure of BeZn3Co, from Alexandria.

Computed properties:
* E_form: 3.1 eV/f.u.
* ΔE to the lowest computed polymorph: 0.000 eV/atom
* SG: Pm-3m, No. 221

abc: 4.173 4.173 4.173
angles: 90.00 90.00 90.00
Element x y z (fractional)
Be 0.000 0.000 0.000
Zn 0.000 0.500 0.000
Zn 0.000 0.000 0.500
Zn 0.500 0.000 0.000
Co 0.500 0.500 0.500


3.
The following is a PBE calculation of a relaxed structure of NaCoOs2, from Alexandria.

Computed properties:
* E_form: 4.5 eV/f.u.
* ΔE to the lowest computed polymorph: 0.000 eV/atom
* SG: I-42d, No. 122

abc: 7.358 7.358 5.722
angles: 49.98 49.98 90.00
Element x y z (fractional)
Co 0.000 0.000 0.000
Co 0.750 0.250 0.500
Os 0.690 0.125 0.250
Os 0.060 0.625 0.250
Os 0.375 0.310 0.750
Os 0.875 0.940 0.750
Na 0.500 0.500 0.000
Na 0.250 0.750 0.500


4.
The following is a PBE calculation of a relaxed structure of Ac3InCu3, from Alexandria.

Computed properties:
* E_form: -1.6 eV/f.u.
* ΔE to the lowest computed polymorph: 0.000 eV/atom
* SG: Cmcm, No. 63

abc: 4.495 6.070 14.849
angles: 90.00 90.00 111.73
Element x y z (fractional)
Ac 0.204 0.408 0.898
Ac 0.796 0.592 0.102
Ac 0.204 0.408 0.602
Ac 0.796 0.592 0.398
Ac 0.486 0.971 0.750
Ac 0.514 0.029 0.250
In 0.500 0.000 0.000
In 0.500 0.000 0.500
Cu 0.914 0.827 0.900
Cu 0.086 0.173 0.100
Cu 0.914 0.827 0.600
Cu 0.086 0.173 0.400
Cu 0.788 0.575 0.750
Cu 0.212 0.425 0.250


5.
The following is a PBE calculation of a relaxed structure of Rb2AlOsCl6, from Alexandria.

Computed properties:
* total DFT energy (no corrections): -3.779 eV per atom
* SG: I4/mmm, No. 139

abc: 7.229 7.229 7.236
angles: 60.03 60.03 90.00
Element x y z (fractional)
Os 0.000 0.000 0.000
Al 0.500 0.500 0.000
Rb 0.750 0.250 0.500
Rb 0.250 0.750 0.500
Cl 0.236 0.236 0.528
Cl 0.764 0.764 0.472
Cl 0.236 0.236 0.000
Cl 0.764 0.764 0.000
Cl 0.764 0.236 0.000
Cl 0.236 0.764 0.000


So what do the calculations give for total magnetic moment? Going down the list: 0.28, 1.79, 2.07, 0.00, 0.99 Bohr magnetons per cell.